A | A relaxed SnHgI2N crystal, computed with PBE-GGA.

Computed properties:
Space-group type = P4/mmm (123)
Fermi-level density of states = 2.6 states/eV/f.u.

Structure (POSCAR):
```
SnHgI2N
1.0
6.317 0.000 0.000
0.000 6.317 0.000
0.000 0.000 4.061
Sn Hg I N
1 1 2 1
direct
0.000 0.000 0.000
0.500 0.500 0.500
0.000 0.500 0.500
0.500 0.000 0.500
0.500 0.500 0.000
```


B | A relaxed SnHgI2N crystal, computed with PBE-GGA.

Computed properties:
Space-group type = P4/mmm (123)
Fermi-level density of states = 4.8 states/eV/f.u.

Structure (POSCAR):
```
SnHgI2N
1.0
6.155 0.000 0.000
0.000 6.155 0.000
0.000 0.000 3.974
Sn Hg I N
1 1 2 1
direct
0.000 0.000 0.000
0.500 0.500 0.500
0.000 0.500 0.000
0.500 0.000 0.000
0.000 0.000 0.500
```


Which structure is most stable? B, by 275 meV/atom over the runner-up.


A | A relaxed TcHgIN2 crystal, computed with PBE-GGA.

Computed properties:
Space-group type = P4/mmm (123)
Fermi-level density of states = 5.3 states/eV/f.u.

Structure (POSCAR):
```
TcHgIN2
1.0
4.231 0.000 0.000
0.000 4.231 0.000
0.000 0.000 7.266
Tc Hg I N
1 1 1 2
direct
0.000 0.000 0.000
0.500 0.500 0.500
0.500 0.500 0.000
0.000 0.500 0.500
0.500 0.000 0.500
```


B | A relaxed TcHgIN2 crystal, computed with PBE-GGA.

Computed properties:
Space-group type = P4/mmm (123)
Fermi-level density of states = 2.6 states/eV/f.u.

Structure (POSCAR):
```
TcHgIN2
1.0
3.993 0.000 0.000
0.000 3.993 0.000
0.000 0.000 5.824
Tc Hg I N
1 1 1 2
direct
0.000 0.000 0.000
0.500 0.500 0.500
0.000 0.000 0.500
0.000 0.500 0.000
0.500 0.000 0.000
```


Which structure is most stable? B, by 1549 meV/atom over the runner-up.


A | A relaxed TcHgI2N crystal, computed with PBE-GGA.

Computed properties:
Space-group type = P4/mmm (123)
Fermi-level density of states = 5.1 states/eV/f.u.

Structure (POSCAR):
```
TcHgI2N
1.0
5.700 0.000 0.000
0.000 5.700 0.000
0.000 0.000 3.780
Tc Hg I N
1 1 2 1
direct
0.000 0.000 0.000
0.500 0.500 0.500
0.000 0.500 0.000
0.500 0.000 0.000
0.000 0.000 0.500
```


B | A relaxed TcHgI2N crystal, computed with PBE-GGA.

Computed properties:
Space-group type = P4/mmm (123)
Fermi-level density of states = 4.8 states/eV/f.u.

Structure (POSCAR):
```
TcHgI2N
1.0
6.261 0.000 0.000
0.000 6.261 0.000
0.000 0.000 3.909
Tc Hg I N
1 1 2 1
direct
0.000 0.000 0.000
0.500 0.500 0.500
0.000 0.500 0.500
0.500 0.000 0.500
0.500 0.500 0.000
```


Which structure is most stable? A, by 1333 meV/atom over the runner-up.


A | A relaxed HgTe2IN crystal, computed with PBE-GGA.

Computed properties:
Space-group type = P4/mmm (123)
Fermi-level density of states = 5.1 states/eV/f.u.

Structure (POSCAR):
```
HgTe2IN
1.0
6.041 0.000 0.000
0.000 6.041 0.000
0.000 0.000 4.043
Hg Te I N
1 2 1 1
direct
0.000 0.000 0.000
0.000 0.500 0.000
0.500 0.000 0.000
0.500 0.500 0.500
0.000 0.000 0.500
```


B | A relaxed HgTe2IN crystal, computed with PBE-GGA.

Computed properties:
Space-group type = P4/mmm (123)
Fermi-level density of states = 3.6 states/eV/f.u.

Structure (POSCAR):
```
HgTe2IN
1.0
4.982 0.000 0.000
0.000 4.982 0.000
0.000 0.000 4.895
Hg Te I N
1 2 1 1
direct
0.000 0.000 0.000
0.000 0.500 0.500
0.500 0.000 0.500
0.500 0.500 0.000
0.500 0.500 0.500
```


C | A relaxed HgTe2IN crystal, computed with PBE-GGA.

Computed properties:
Space-group type = P4/mmm (123)
Fermi-level density of states = 13.4 states/eV/f.u.

Structure (POSCAR):
```
HgTe2IN
1.0
5.657 0.000 0.000
0.000 5.657 0.000
0.000 0.000 5.721
Hg Te I N
1 2 1 1
direct
0.000 0.000 0.000
0.000 0.500 0.000
0.500 0.000 0.000
0.000 0.000 0.500
0.500 0.500 0.500
```


Which structure is most stable? B, by 369 meV/atom over the runner-up.


A | A relaxed TlHgIN2 crystal, computed with PBE-GGA.

Computed properties:
Space-group type = P4/mmm (123)
Fermi-level density of states = 3.3 states/eV/f.u.

Structure (POSCAR):
```
TlHgIN2
1.0
4.426 0.000 0.000
0.000 4.426 0.000
0.000 0.000 7.483
Tl Hg I N
1 1 1 2
direct
0.000 0.000 0.000
0.500 0.500 0.500
0.000 0.000 0.500
0.000 0.500 0.000
0.500 0.000 0.000
```


B | A relaxed TlHgIN2 crystal, computed with PBE-GGA.

Computed properties:
Space-group type = P4/mmm (123)
Fermi-level density of states = 2.2 states/eV/f.u.

Structure (POSCAR):
```
TlHgIN2
1.0
4.683 0.000 0.000
0.000 4.683 0.000
0.000 0.000 6.651
Tl Hg I N
1 1 1 2
direct
0.000 0.000 0.000
0.500 0.500 0.500
0.500 0.500 0.000
0.000 0.500 0.500
0.500 0.000 0.500
```


Which structure is most stable? B, by 99 meV/atom over the runner-up.


A | A relaxed VHgI2N crystal, computed with PBE-GGA.

Computed properties:
Space-group type = P4/mmm (123)
Fermi-level density of states = 9.1 states/eV/f.u.

Structure (POSCAR):
```
VHgI2N
1.0
6.205 0.000 0.000
0.000 6.205 0.000
0.000 0.000 3.923
V Hg I N
1 1 2 1
direct
0.000 0.000 0.000
0.500 0.500 0.500
0.000 0.500 0.500
0.500 0.000 0.500
0.500 0.500 0.000
```


B | A relaxed VHgI2N crystal, computed with PBE-GGA.

Computed properties:
Space-group type = P4/mmm (123)
Fermi-level density of states = 3.0 states/eV/f.u.

Structure (POSCAR):
```
VHgI2N
1.0
5.676 0.000 0.000
0.000 5.676 0.000
0.000 0.000 3.708
V Hg I N
1 1 2 1
direct
0.000 0.000 0.000
0.500 0.500 0.500
0.000 0.500 0.000
0.500 0.000 0.000
0.000 0.000 0.500
```


Which structure is most stable? B, by 1483 meV/atom over the runner-up.